Here is a geometry-optimized Cu5GePd6 structure from Alexandria via LeMat-Bulk. Energies are from PBE.

a b c (Å): 7.4049 7.4049 7.4049
angles (deg): 146.38 131.56 60.26
Element x y z (fractional)
1 Cu 0.0000 0.0000 0.0000
2 Cu 0.1667 0.6667 0.5000
3 Cu 0.3239 0.3239 0.0000
4 Cu 0.6761 0.6761 0.0000
5 Cu 0.8333 0.3333 0.5000
6 Ge 0.5000 0.0000 0.5000
7 Pd 0.0933 0.8375 0.2558
8 Pd 0.2585 0.5000 0.7585
9 Pd 0.4182 0.1625 0.2558
10 Pd 0.5818 0.8375 0.7442
11 Pd 0.7415 0.5000 0.2415
12 Pd 0.9067 0.1625 0.7442

Formation energy from the elements in eV/atom: -0.2478
Excess energy over the best structure of this formula in the dataset in eV per atom: 0.000
Mass density in g cm⁻³: 10.3
Size of the total moment in μB per formula unit: 0.00
N(E_F) in states/eV/atom: 0.295